[1]
The following is a PBE calculation of Tl4Hg5Pd after structural relaxation, from the Alexandria database.

For the energy of formation, the calculation gives -4 meV/atom. The crystal system is tetragonal. For the uncorrected energy, the calculation gives -1.621 eV per atom.

The space group is I4 (No. 79) and the conventional cell measures 9.216, 9.216 and 6.557 Å, with angles of 90.00, 90.00 and 90.00 degrees. Symmetry generates all atoms from Tl at (0.059, 0.700, 0.000), Hg at (0.000, 0.000, 0.228), Hg at (0.095, 0.762, 0.530) and Pd at (0.000, 0.000, 0.796).

---

[2]
The following is a PBE calculation of Hf2AgBi after structural relaxation, from the Alexandria database.

For the energy of formation, the calculation gives 16 meV/atom. The crystal system is tetragonal. For the uncorrected energy, the calculation gives -6.644 eV per atom.

The space group is P4/mmm (No. 123) and the conventional cell measures 4.426, 4.426 and 4.425 Å, with angles of 90.00, 90.00 and 90.00 degrees. Symmetry generates all atoms from Hf at (0.000, 0.500, 0.000), Ag at (0.000, 0.000, 0.500) and Bi at (0.500, 0.500, 0.500).

---

[3]
The following is a PBE calculation of PmTlHg6 after structural relaxation, from the Alexandria database.

For the energy of formation, the calculation gives -177 meV/atom. The distance to the lowest polymorph of the same formula is 0 meV per atom. The crystal system is orthorhombic. For the uncorrected energy, the calculation gives -1.293 eV per atom.

The space group is Amm2 (No. 38) and the conventional cell measures 5.221, 6.841 and 11.759 Å, with angles of 90.00, 90.00 and 90.00 degrees. Symmetry generates all atoms from Pm at (0.000, 0.000, 0.000), Tl at (0.500, 0.000, 0.331), Hg at (0.000, 0.000, 0.505), Hg at (0.000, 0.239, 0.746), Hg at (0.500, 0.000, 0.832) and Hg at (0.500, 0.248, 0.582).

---

[4]
The following is a PBE calculation of Mg2CuSb after structural relaxation, from the Alexandria database.

The crystal system is orthorhombic. Its formation energy without anion corrections is -0.02 eV per atom. For the uncorrected energy, the calculation gives -2.870 eV per atom.

The space group is Pmm2 (No. 25) and the conventional cell measures 3.242, 4.197 and 6.051 Å, with angles of 90.00, 90.00 and 90.00 degrees. Symmetry generates all atoms from Mg at (0.000, 0.000, 0.000), Mg at (0.500, 0.500, 0.283), Cu at (0.500, 0.500, 0.838) and Sb at (0.000, 0.000, 0.524).

---

[5]
The following is a PBE calculation of Mg2ZrHg after structural relaxation, from the Alexandria database.

For the energy of formation, the calculation gives -27 meV/atom. The crystal system is orthorhombic. For the uncorrected energy, the calculation gives -3.037 eV per atom.

The space group is Pmmm (No. 47) and the conventional cell measures 3.156, 4.347 and 6.341 Å, with angles of 90.00, 90.00 and 90.00 degrees. Symmetry generates all atoms from Mg at (0.000, 0.000, 0.246), Zr at (0.500, 0.500, 0.500) and Hg at (0.500, 0.500, 0.000).

---

[6]
The following is a PBE calculation of RbPm4S6 after structural relaxation, from the Alexandria database.

The crystal system is orthorhombic. Its formation energy without anion corrections is -1.93 eV per atom. For the uncorrected energy, the calculation gives -5.998 eV per atom.

The space group is Cmcm (No. 63) and the conventional cell measures 4.078, 13.623 and 21.606 Å, with angles of 90.00, 90.00 and 90.00 degrees. Symmetry generates all atoms from Rb at (0.000, 0.149, 0.250), Pm at (0.000, 0.103, 0.634), Pm at (0.000, 0.369, 0.542), S at (0.000, 0.000, 0.000), S at (0.000, 0.165, 0.750), S at (0.000, 0.271, 0.078) and S at (0.000, 0.468, 0.651).

---

[7]
The following is a PBE calculation of LiTaZn2 after structural relaxation, from the Alexandria database.

For the energy of formation, the calculation gives 119 meV/atom. The distance to the lowest polymorph of the same formula is 187 meV per atom. The crystal system is trigonal. For the uncorrected energy, the calculation gives -3.959 eV per atom.

The space group is R3m (No. 160, hexagonal axes) and the conventional cell measures 2.7761, 2.7761 and 29.2658 Å, with angles of 90.00, 90.00 and 120.00 degrees. Symmetry generates all atoms from Li at (0.0000, 0.0000, 0.0000), Ta at (0.0000, 0.0000, 0.2447), Zn at (0.0000, 0.0000, 0.4954) and Zn at (0.0000, 0.0000, 0.7454).

---

[8]
The following is a PBE calculation of Ho3Zn8Au3 after structural relaxation, from the Alexandria database.

For the energy of formation, the calculation gives -435 meV/atom. The distance to the lowest polymorph of the same formula is 32 meV per atom. The crystal system is orthorhombic. For the uncorrected energy, the calculation gives -2.846 eV per atom.

The space group is Immm (No. 71) and the conventional cell measures 4.286, 9.169 and 13.144 Å, with angles of 90.00, 90.00 and 90.00 degrees. Symmetry generates all atoms from Ho at (0.000, 0.000, 0.000), Ho at (0.000, 0.000, 0.315), Zn at (0.000, 0.274, 0.133), Zn at (0.000, 0.364, 0.322), Au at (0.000, 0.232, 0.500) and Au at (0.000, 0.500, 0.000).

---

[9]
The following is a PBE calculation of Fe2HgRh after structural relaxation, from the Alexandria database.

For the energy of formation, the calculation gives 227 meV/atom. The crystal system is orthorhombic. For the uncorrected energy, the calculation gives -5.918 eV per atom.

The space group is Imm2 (No. 44) and the conventional cell measures 3.039, 4.447 and 8.800 Å, with angles of 90.00, 90.00 and 90.00 degrees. Symmetry generates all atoms from Fe at (0.000, 0.000, 0.000), Fe at (0.000, 0.500, 0.283), Hg at (0.000, 0.000, 0.522) and Rh at (0.000, 0.500, 0.747).

---

[10]
The following is a PBE calculation of Rb2C2N3 after structural relaxation, from the Alexandria database.

The distance to the lowest polymorph of the same formula is 0 meV per atom. The crystal system is monoclinic. Its formation energy without anion corrections is 0.01 eV per atom. For the uncorrected energy, the calculation gives -6.474 eV per atom.

The space group is C2/m (No. 12) and the conventional cell measures 14.858, 4.303 and 4.651 Å, with angles of 90.00, 94.13 and 90.00 degrees. Symmetry generates all atoms from Rb at (0.149, 0.000, 0.215), C at (0.069, 0.500, 0.680), N at (0.000, 0.500, 0.500) and N at (0.151, 0.500, 0.752).

---

[11]
The following is a PBE calculation of Ba2PaFeS6 after structural relaxation, from the Alexandria database.

The crystal system is monoclinic. Its formation energy without anion corrections is -1.47 eV per atom. For the uncorrected energy, the calculation gives -6.125 eV per atom.

The space group is P2_1/c (No. 14) and the conventional cell measures 6.956, 6.905 and 11.987 Å, with angles of 90.00, 125.38 and 90.00 degrees. Symmetry generates all atoms from Ba at (0.248, 0.001, 0.249), Pa at (0.500, 0.000, 0.000), Fe at (0.000, 0.000, 0.500), S at (0.218, 0.236, 0.484), S at (0.220, 0.734, 0.985) and S at (0.265, 0.000, 0.735).

---

[12]
The following is a PBE calculation of Mg5Zn after structural relaxation, from the Alexandria database.

For the energy of formation, the calculation gives -13 meV/atom. The crystal system is monoclinic. For the uncorrected energy, the calculation gives -1.554 eV per atom.

The space group is Cm (No. 8) and the conventional cell measures 11.860, 3.098 and 7.198 Å, with angles of 90.00, 104.46 and 90.00 degrees. Symmetry generates all atoms from Mg at (0.000, 0.000, 0.000), Mg at (0.042, 0.000, 0.611), Mg at (0.172, 0.500, 0.353), Mg at (0.225, 0.500, 0.925), Mg at (0.385, 0.000, 0.277) and Zn at (0.334, 0.000, 0.666).

---

Question: What is the uncorrected energy in the first record?
Answer: -1.621 eV per atom